[1]
# Ac6Ru2Pb3

An optimized crystal structure of Ac6Ru2Pb3 (PBE-GGA, Alexandria).

Output
The space-group type is No. 139. The value obtained for the formation energy is -2.7 eV per formula unit. As for the crystal system: tetragonal. Its density of states at the Fermi level is 0.5495 states/eV per atom. For the total magnetization, the calculation gives 0.0 Bohr magnetons per cell.

Lattice parameters (Å, degrees): 5.5922 5.5922 13.7999 101.69 101.69 90.00
Positions (direct):
Ac: 0.0837 0.5837 0.1674
Ac: 0.5837 0.0837 0.1674
Ac: 0.9163 0.4163 0.8326
Ac: 0.4163 0.9163 0.8326
Ac: 0.7007 0.7007 0.4014
Ac: 0.2993 0.2993 0.5986
Ru: 0.3999 0.3999 0.7999
Ru: 0.6001 0.6001 0.2001
Pb: 0.0000 0.0000 0.0000
Pb: 0.8267 0.8267 0.6534
Pb: 0.1733 0.1733 0.3466

---

[2]
# Ac5RuPb2

An optimized crystal structure of Ac5RuPb2 (PBE-GGA, Alexandria).

Output
The space-group type is No. 63. Its distance to the lowest polymorph of the same formula is 217 meV/atom. The value obtained for the formation energy is -1.6 eV per formula unit. As for the crystal system: orthorhombic. Its density of states at the Fermi level is 0.8326 states/eV per atom. For the total magnetization, the calculation gives 0.0 Bohr magnetons per cell.

Lattice parameters (Å, degrees): 6.3946 6.5783 16.7385 90.00 90.00 119.08
Positions (direct):
Ac: 0.9136 0.8273 0.8786
Ac: 0.9136 0.8273 0.6214
Ac: 0.4133 0.8267 0.3783
Ac: 0.4133 0.8267 0.1217
Ac: 0.7498 0.4996 0.2500
Ac: 0.2502 0.5004 0.7500
Ac: 0.5867 0.1733 0.6217
Ac: 0.5867 0.1733 0.8783
Ac: 0.0864 0.1727 0.1214
Ac: 0.0864 0.1727 0.3786
Ru: 0.7504 0.5007 0.7500
Ru: 0.2496 0.4993 0.2500
Pb: 0.7498 0.4996 0.4511
Pb: 0.7498 0.4996 0.0489
Pb: 0.2502 0.5004 0.5489
Pb: 0.2502 0.5004 0.9511

---

[3]
# Ac3RuPb2

An optimized crystal structure of Ac3RuPb2 (PBE-GGA, Alexandria).

Output
The space-group type is No. 15. Its distance to the lowest polymorph of the same formula is 190 meV/atom. The value obtained for the formation energy is -1.3 eV per formula unit. As for the crystal system: monoclinic. Its density of states at the Fermi level is 0.8429 states/eV per atom. For the total magnetization, the calculation gives 0.0 Bohr magnetons per cell.

Lattice parameters (Å, degrees): 6.4618 8.2587 8.8601 103.51 111.39 90.00
Positions (direct):
Ac: 0.4908 0.2500 0.0000
Ac: 0.5092 0.7500 0.0000
Ac: 0.1367 0.0633 0.2555
Ac: 0.8812 0.4367 0.7445
Ac: 0.1188 0.5633 0.2555
Ac: 0.8633 0.9367 0.7445
Ru: 0.9594 0.7500 0.0000
Ru: 0.0406 0.2500 0.0000
Pb: 0.6817 0.5960 0.3845
Pb: 0.7028 0.0960 0.3845
Pb: 0.2972 0.9040 0.6155
Pb: 0.3183 0.4040 0.6155